The following is a PBE calculation of a geometry-optimized AsAuBr6 structure, from the Alexandria database.

POSCAR file:
```
AsAuBr6
1.0
5.847 0.000 0.000
0.549 7.101 0.000
2.843 2.955 7.035
As Au Br
1 1 6
direct
0.000 0.000 0.000
0.500 0.500 0.000
0.018 0.811 0.335
0.282 0.361 0.848
0.400 0.844 0.809
0.600 0.156 0.191
0.718 0.639 0.152
0.982 0.189 0.665
```

The space-group type is P-1, No. 2. The calculation puts the formation energy from raw total energies at -0.19 eV/atom.

---

The following is a PBE calculation of a geometry-optimized Pm5Dy2In4 structure, from the Alexandria database.

POSCAR file:
```
Pm5Dy2In4
1.0
8.757 0.000 0.000
0.000 3.447 0.000
-1.031 0.000 10.651
Pm Dy In
5 2 4
direct
0.000 0.000 0.000
0.039 0.000 0.334
0.341 0.000 0.859
0.659 0.000 0.141
0.961 0.000 0.666
0.418 0.000 0.362
0.582 0.000 0.638
0.257 0.500 0.576
0.300 0.500 0.123
0.700 0.500 0.877
0.743 0.500 0.424
```

The space-group type is P2/m, No. 10. Its density of states at the Fermi level is 12.6 states/eV/cell. Its energy of formation from the pure elements is -286 meV/atom. The calculation puts the polymorph energy (0 for the lowest one) at 0.0 kJ/mol of atoms.

---

Number 1: total energy -0.1791 Ry/atom, magnetization 0.00 μB/atom. Number 2: total energy -0.3144 Ry/atom, magnetization 0.00 μB/atom.